# Mg2TcCl

Crystalline Mg2TcCl at its relaxed geometry (GGA-PBE, Alexandria).

* density: 3.79 g/cm3
* formation energy (no corrections): 0.512 eV/atom
* ΔE to the lowest computed polymorph: 0.775 eV per atom

Cell: 4.8312 4.8312 4.8312 Å, 60.00 60.00 60.00°
Fractional positions:
Mg: 0.2500 0.2500 0.2500
Mg: 0.7500 0.7500 0.7500
Tc: 0.5000 0.5000 0.5000
Cl: 0.0000 0.0000 0.0000